An optimized crystal structure of SmHfIrRu. Source: Alexandria, functional PBE.

Output
- space group = No. 216
- electronic total energy (Ry/atom) = -0.6445
- calculated formation energy (meV per atom) = -567
- volume (A^3/atom) = 19.1

a = 4.7648 Å, b = 4.7648 Å, c = 4.7648 Å
α = 60.00°, β = 60.00°, γ = 60.00°
Closest atoms and distances in Å follow each position.
Sites, in units of the cell vectors:
Sm  0.0000  0.0000  0.0000  4 Ru 2.92, 4 Ir 2.92
Hf  0.5000  0.5000  0.5000  4 Ru 2.92, 4 Ir 2.92
Ir  0.7500  0.7500  0.7500  4 Sm 2.92, 4 Hf 2.92
Ru  0.2500  0.2500  0.2500  4 Hf 2.92, 4 Sm 2.92


An optimized crystal structure of Ho3Th5S8. Source: Alexandria, functional PBE.

Output
- space group = No. 166
- electronic total energy (Ry/atom) = -0.5235
- volume (A^3/atom) = 22.4
- formation energy from raw total energies (eV/atom) = -1.88

a = 8.0647 Å, b = 8.0647 Å, c = 8.0647 Å
α = 58.48°, β = 58.48°, γ = 58.48°
Closest atoms and distances in Å follow each position.
Sites, in units of the cell vectors:
Ho  0.0000  0.5000  0.5000  6 S 2.75
Ho  0.5000  0.0000  0.5000  6 S 2.75
Ho  0.5000  0.5000  0.0000  6 S 2.75
Th  0.0000  0.0000  0.0000  6 S 2.81
Th  0.0000  0.0000  0.5000  6 S 2.89
Th  0.0000  0.5000  0.0000  6 S 2.89
Th  0.5000  0.0000  0.0000  6 S 2.89
Th  0.5000  0.5000  0.5000  6 S 2.83
S  0.2497  0.2497  0.7377  2 Ho 2.75, 4 Th 2.81-2.89
S  0.2497  0.7377  0.2497  2 Ho 2.75, 4 Th 2.81-2.89
S  0.2559  0.2559  0.2559  3 Ho 2.75, 3 Th 2.89
S  0.2623  0.7503  0.7503  2 Ho 2.75, 4 Th 2.81-2.89
S  0.7377  0.2497  0.2497  2 Ho 2.75, 4 Th 2.81-2.89
S  0.7441  0.7441  0.7441  3 Ho 2.75, 3 Th 2.89
S  0.7503  0.2623  0.7503  2 Ho 2.75, 4 Th 2.81-2.89
S  0.7503  0.7503  0.2623  2 Ho 2.75, 4 Th 2.81-2.89


An optimized crystal structure of SrRu4. Source: Alexandria, functional PBE.

Output
- space group = No. 229
- electronic total energy (Ry/atom) = -0.3907
- calculated formation energy (meV per atom) = 2442
- volume (A^3/atom) = 21.0

a = 5.1441 Å, b = 5.1441 Å, c = 5.1441 Å
α = 109.47°, β = 109.47°, γ = 109.47°
Closest atoms and distances in Å follow each position.
Sites, in units of the cell vectors:
Sr  0.0000  0.0000  0.0000  8 Ru 2.57
Ru  0.0000  0.0000  0.5000  2 Sr 2.57
Ru  0.0000  0.5000  0.0000  2 Sr 2.57
Ru  0.5000  0.0000  0.0000  2 Sr 2.57
Ru  0.5000  0.5000  0.5000  2 Sr 2.57


An optimized crystal structure of SrLa4Mg. Source: Alexandria, functional PBE.

Output
- space group = No. 216
- electronic total energy (Ry/atom) = -0.2650
- calculated formation energy (meV per atom) = 225
- volume (A^3/atom) = 38.6

a = 6.8916 Å, b = 6.8916 Å, c = 6.8916 Å
α = 60.00°, β = 60.00°, γ = 60.00°
Closest atoms and distances in Å follow each position.
Sites, in units of the cell vectors:
Sr  0.0000  0.0000  0.0000  12 La 4.05, 4 Mg 4.22
La  0.1370  0.6210  0.6210  6 La 3.34-3.56
La  0.6210  0.1370  0.6210  6 La 3.34-3.56
La  0.6210  0.6210  0.1370  6 La 3.34-3.56
La  0.6210  0.6210  0.6210  6 La 3.34-3.56
Mg  0.2500  0.2500  0.2500  12 La 4.03, 4 Sr 4.22


no.,density of states at the Fermi level (states/eV per cell)
1,1.6
2,6.5
3,10.3
4,9.4